La2MgGe4Pt3 | Alexandria via LeMat-Bulk | PBE | optimized geometry; space group = P-4m2; crystal system = tetragonal
1.0
4.3346 0.0000 0.0000
0.0000 4.3346 0.0000
0.0000 0.0000 10.7979
La Mg Ge Pt
2 1 4 3
Direct
0.0000 0.5000 0.2444 La
0.5000 0.0000 0.7556 La
0.0000 0.0000 0.5000 Mg
0.0000 0.0000 0.0000 Ge
0.0000 0.5000 0.6451 Ge
0.5000 0.0000 0.3549 Ge
0.5000 0.5000 0.0000 Ge
0.0000 0.5000 0.8772 Pt
0.5000 0.0000 0.1228 Pt
0.5000 0.5000 0.5000 Pt

=====

LaMgGe2Pt | Alexandria via LeMat-Bulk | PBE | optimized geometry; space group = P4/mmm; crystal system = tetragonal
1.0
5.4624 0.0000 0.0000
0.0000 5.4624 0.0000
0.0000 0.0000 5.7934
La Mg Ge Pt
1 1 2 1
Direct
0.0000 0.0000 0.0000 La
0.0000 0.0000 0.5000 Mg
0.0000 0.5000 0.0000 Ge
0.5000 0.0000 0.0000 Ge
0.5000 0.5000 0.5000 Pt

=====

Respective E_tot values: -5.72; -2.95 eV per atom.
Respective formation energy values: -917; 1408 meV/atom.